# 1
DFT (PBE) results for crystalline TiFe2Rh5 at its relaxed geometry.

Lattice parameters (Å, degrees): 5.325 10.471 4.036 90.00 90.00 90.00
Space group Pbam (No. 55)
One atom of each set of equivalent atoms:
Ti1 0.000 0.000 0.000 (multiplicity 2)
Fe1 0.183 0.361 0.500 (multiplicity 4)
Rh1 0.000 0.500 0.000 (multiplicity 2)
Rh2 0.077 0.759 0.000 (multiplicity 4)
Rh3 0.196 0.111 0.500 (multiplicity 4)

The formation enthalpy at 0 K is -2.14 eV/f.u.

# 2
DFT (PBE) results for crystalline TlWCl2 at its relaxed geometry.

Lattice parameters (Å, degrees): 7.205 7.205 7.205 90.00 90.00 90.00
Space group F-43m (No. 216)
One atom of each set of equivalent atoms:
Tl1 0.000 0.000 0.000 (multiplicity 4)
W1 0.250 0.250 0.250 (multiplicity 4)
Cl1 0.000 0.000 0.500 (multiplicity 4)
Cl2 0.250 0.250 0.750 (multiplicity 4)

Its energy relative to the lowest polymorph listed for this composition is 3.72 eV/f.u. The calculation puts the formation energy (no corrections) at 924 meV/atom.

# 3
DFT (PBE) results for crystalline LiAs4P at its relaxed geometry.

Lattice parameters (Å, degrees): 7.793 7.793 7.793 90.00 90.00 90.00
Space group F-43m (No. 216)
One atom of each set of equivalent atoms:
Li1 0.000 0.000 0.000 (multiplicity 4)
As1 0.124 0.124 0.376 (multiplicity 16)
P1 0.250 0.250 0.750 (multiplicity 4)

The formation enthalpy at 0 K is 2.29 eV/f.u.